# 1
Nb4SnPN2: relaxed, PBE-GGA.

Summary:
As for the space-group type: P-6m2, No. 187. Its spin magnetization is 0.0 μB per cell. Its uncorrected energy is -0.6627 Ry per atom.

Structure (extended XYZ):
```
8
Lattice="3.293 0.000 0.000 -1.646 2.852 0.000 0.000 0.000 12.571" Properties=species:S:1:pos:R:3 pbc="T T T"
N 0.000 1.901 2.945
N 0.000 1.901 9.626
Nb 1.646 0.951 1.725
Nb 0.000 0.000 3.956
Nb 0.000 0.000 8.615
Nb 1.646 0.951 10.847
P 0.000 0.000 0.000
Sn 1.646 0.951 6.286
```

=====

# 2
TbBiAsO: relaxed, PBE-GGA.

Summary:
As for the space-group type: P4/nmm, No. 129. Its spin magnetization is 0.1 μB per cell. The value obtained for the energy above the lowest structure with this stoichiometry is 0 meV/atom.

Structure (extended XYZ):
```
8
Lattice="-1.512 3.562 -1.731 -2.894 -2.258 -2.120 -6.392 1.006 7.654" Properties=species:S:1:pos:R:3 pbc="T T T"
As -3.125 -0.865 0.949
As -5.470 2.523 4.780
Bi -3.196 0.503 3.827
Bi -5.399 1.155 1.902
O 0.000 0.000 0.000
O -2.203 0.652 -1.925
Tb -1.345 1.874 -0.160
Tb -7.250 -0.216 5.889
```

=====

# 3
CsZrAuSeS2: relaxed, PBE-GGA.

Summary:
As for the space-group type: Cmcm, No. 63. Its spin magnetization is 0.0 μB per cell. Its uncorrected energy is -0.3778 Ry per atom.

Structure (extended XYZ):
```
12
Lattice="1.951 -8.105 0.000 1.951 8.105 0.000 0.000 0.000 10.314" Properties=species:S:1:pos:R:3 pbc="T T T"
Au 1.951 0.755 2.579
Au 1.951 -0.755 7.736
Cs 1.951 -4.132 2.579
Cs 1.951 4.132 7.736
S 1.951 1.747 0.364
S 1.951 1.747 4.793
S 1.951 -1.747 5.521
S 1.951 -1.747 9.950
Se 1.951 7.006 2.579
Se 1.951 -7.006 7.736
Zr 0.000 0.000 0.000
Zr 0.000 0.000 5.157
```

=====

# 4
OsCl: relaxed, PBE-GGA.

Summary:
As for the space-group type: Fm-3m, No. 225. Its spin magnetization is 0.8 μB per cell. The value obtained for the energy above the lowest structure with this stoichiometry is 1165 meV/atom.

Structure (extended XYZ):
```
2
Lattice="0.251 -3.329 -1.250 -2.944 -1.778 -0.939 -0.659 -0.667 -3.439" Properties=species:S:1:pos:R:3 pbc="T T T"
Cl 0.000 0.000 0.000
Os -1.676 -2.887 -2.814
```

=====

# 5
MgPaAsO: relaxed, PBE-GGA.

Summary:
As for the space-group type: Pmc2_1, No. 26. Its spin magnetization is 2.5 μB per cell. The value obtained for the energy above the lowest structure with this stoichiometry is 3 meV/atom.

Structure (extended XYZ):
```
8
Lattice="-3.885 2.471 -0.612 -1.313 -0.608 5.886 3.014 5.035 1.192" Properties=species:S:1:pos:R:3 pbc="T T T"
As 0.888 1.894 2.010
As 1.762 4.118 5.443
Mg -2.955 0.942 4.939
Mg -0.446 3.923 1.046
O -1.862 2.675 5.001
O 0.494 5.586 1.788
Pa 0.267 1.628 4.882
Pa 2.419 4.444 2.586
```

=====

# 6
Er2S3O12: relaxed, PBE-GGA.

Summary:
As for the space-group type: Pbcn, No. 60. Its spin magnetization is 0.0 μB per cell. Its uncorrected energy is -0.5092 Ry per atom.

Structure (extended XYZ):
```
68
Lattice="12.397 0.000 0.000 0.000 9.079 0.000 0.000 0.000 9.131" Properties=species:S:1:pos:R:3 pbc="T T T"
Er 4.681 2.276 0.392
Er 1.518 6.816 0.392
Er 7.716 2.276 4.174
Er 10.880 6.816 4.174
Er 1.518 2.264 4.957
Er 4.681 6.804 4.957
Er 10.880 2.264 8.739
Er 7.716 6.804 8.739
O 2.657 1.509 0.049
O 3.542 6.049 0.049
O 6.637 3.165 0.854
O 11.959 7.704 0.854
O 10.503 0.555 0.941
O 8.093 5.095 0.941
O 11.647 3.328 1.349
O 6.949 7.868 1.349
O 5.237 0.484 1.543
O 0.961 5.023 1.543
O 3.851 3.207 2.218
O 2.347 7.747 2.218
O 8.546 3.207 2.348
O 10.050 7.747 2.348
O 7.160 0.484 3.022
O 11.436 5.023 3.022
O 0.750 3.328 3.217
O 5.449 7.868 3.217
O 1.894 0.555 3.624
O 4.304 5.095 3.624
O 5.761 3.165 3.711
O 0.438 7.704 3.711
O 9.741 1.509 4.516
O 8.855 6.049 4.516
O 3.542 3.030 4.615
O 2.657 7.570 4.615
O 11.959 1.375 5.420
O 6.637 5.915 5.420
O 8.093 3.984 5.507
O 10.503 8.524 5.507
O 6.949 1.212 5.914
O 11.647 5.751 5.914
O 0.961 4.056 6.109
O 5.237 8.596 6.109
O 2.347 1.333 6.783
O 3.851 5.872 6.783
O 10.050 1.333 6.913
O 8.546 5.872 6.913
O 11.436 4.056 7.587
O 7.160 8.596 7.587
O 5.449 1.212 7.782
O 0.750 5.751 7.782
O 4.304 3.984 8.189
O 1.894 8.524 8.189
O 0.438 1.375 8.276
O 5.761 5.915 8.276
O 8.855 3.030 9.082
O 9.741 7.570 9.082
S 8.031 3.623 1.025
S 10.565 8.163 1.025
S 0.000 4.182 2.283
S 6.199 8.722 2.283
S 4.367 3.623 3.540
S 1.832 8.163 3.540
S 10.565 0.917 5.591
S 8.031 5.457 5.591
S 6.199 0.358 6.848
S 0.000 4.897 6.848
S 1.832 0.917 8.105
S 4.367 5.457 8.105
```

=====

# 7
Hf2ScFe: relaxed, PBE-GGA.

Summary:
As for the space-group type: F-43m, No. 216. Its spin magnetization is 1.0 μB per cell. Its uncorrected energy is -0.6149 Ry per atom.

Structure (extended XYZ):
```
4
Lattice="-1.776 -1.340 4.163 -0.747 -4.576 0.885 2.728 -2.280 3.106" Properties=species:S:1:pos:R:3 pbc="T T T"
Fe 0.051 -2.049 2.039
Hf 0.102 -4.098 4.077
Hf 0.153 -6.147 6.116
Sc 0.000 0.000 0.000
```

=====

# 8
Zr4Sc2P3N3: relaxed, PBE-GGA.

Summary:
As for the space-group type: C2/c, No. 15. Its spin magnetization is 0.0 μB per cell. Its uncorrected energy is -0.6479 Ry per atom.

Structure (extended XYZ):
```
24
Lattice="5.103 -2.948 0.000 5.103 2.948 0.000 -3.402 0.000 12.020" Properties=species:S:1:pos:R:3 pbc="T T T"
N 2.552 -1.474 0.000
N 5.943 -1.456 0.000
N 4.264 1.456 0.000
N 4.242 1.456 6.010
N 0.851 1.474 6.010
N 2.562 -1.456 6.010
P 2.578 0.474 3.003
P 4.253 -2.428 3.005
P 5.928 0.474 3.007
P 0.877 -0.474 9.013
P 2.552 2.428 9.015
P 4.227 -0.474 9.017
Sc 4.263 -0.487 1.224
Sc 4.243 -0.487 4.786
Sc 2.562 0.487 7.234
Sc 2.542 0.487 10.796
Zr 0.850 -0.501 1.246
Zr 7.647 -0.489 1.247
Zr 0.859 -0.489 4.762
Zr 7.656 -0.502 4.764
Zr -0.851 0.501 7.256
Zr 5.946 0.489 7.257
Zr -0.842 0.489 10.772
Zr 5.955 0.502 10.773
```

=====

# 9
HoMgTa: relaxed, PBE-GGA.

Summary:
As for the space-group type: F-43m, No. 216. Its spin magnetization is 1.7 μB per cell. The value obtained for the energy above the lowest structure with this stoichiometry is 351 meV/atom.

Structure (extended XYZ):
```
3
Lattice="0.000 3.473 3.473 3.473 0.000 3.473 3.473 3.473 0.000" Properties=species:S:1:pos:R:3 pbc="T T T"
Ho 0.000 0.000 0.000
Mg 1.736 1.736 1.736
Ta 5.209 5.209 5.209
```

=====

# 10
TlReAs: relaxed, PBE-GGA.

Summary:
As for the space-group type: F-43m, No. 216. Its spin magnetization is 0.0 μB per cell. The value obtained for the energy above the lowest structure with this stoichiometry is 0 meV/atom.

Structure (extended XYZ):
```
3
Lattice="0.000 3.164 3.164 3.164 0.000 3.164 3.164 3.164 0.000" Properties=species:S:1:pos:R:3 pbc="T T T"
As 1.582 1.582 1.582
Re 0.000 0.000 0.000
Tl 4.747 4.747 4.747
```

=====

# 11
ZnPPtO: relaxed, PBE-GGA.

Summary:
As for the space-group type: P4/nmm, No. 129. Its spin magnetization is 0.0 μB per cell. The value obtained for the energy above the lowest structure with this stoichiometry is 0 meV/atom.

Structure (extended XYZ):
```
8
Lattice="4.021 0.000 0.000 0.000 4.021 0.000 0.000 0.000 8.411" Properties=species:S:1:pos:R:3 pbc="T T T"
O 0.000 0.000 0.000
O 2.010 2.010 0.000
P 2.010 0.000 2.930
P 0.000 2.010 5.481
Pt 0.000 0.000 4.206
Pt 2.010 2.010 4.206
Zn 2.010 0.000 0.393
Zn 0.000 2.010 8.018
```

=====

# 12
BeFeMoAs: relaxed, PBE-GGA.

Summary:
As for the space-group type: F-43m, No. 216. Its spin magnetization is 1.8 μB per cell. The value obtained for the energy above the lowest structure with this stoichiometry is 0 meV/atom.

Structure (extended XYZ):
```
4
Lattice="3.063 0.604 2.666 -0.062 -1.867 3.656 2.651 -3.031 0.803" Properties=species:S:1:pos:R:3 pbc="T T T"
As 0.000 0.000 0.000
Be 2.826 -2.147 3.563
Fe 4.239 -3.221 5.344
Mo 1.413 -1.074 1.781
```

=====

# 13
ErTeNO: relaxed, PBE-GGA.

Summary:
As for the space-group type: P4/nmm, No. 129. Its spin magnetization is 0.0 μB per cell. The value obtained for the energy above the lowest structure with this stoichiometry is 726 meV/atom.

Structure (extended XYZ):
```
8
Lattice="-2.502 2.801 -3.334 -4.334 -1.237 2.214 0.394 3.792 2.890" Properties=species:S:1:pos:R:3 pbc="T T T"
Er 0.197 1.896 1.445
Er -3.221 2.678 0.885
N -1.088 2.973 -0.468
N -1.937 1.601 2.799
O 0.000 0.000 0.000
O -3.418 0.782 -0.560
Te -2.160 -0.547 1.162
Te -0.865 5.121 1.169
```

=====

# 14
ScNb2Te: relaxed, PBE-GGA.

Summary:
As for the space-group type: F-43m, No. 216. Its spin magnetization is 0.0 μB per cell. Its uncorrected energy is -0.5484 Ry per atom.

Structure (extended XYZ):
```
4
Lattice="1.095 -2.694 3.796 -3.020 -0.261 3.698 -2.411 -4.043 0.838" Properties=species:S:1:pos:R:3 pbc="T T T"
Nb 0.000 0.000 0.000
Nb -1.084 -1.750 2.083
Sc -3.252 -5.249 6.248
Te -2.168 -3.499 4.166
```

=====

# 15
Ta2PdSe2S4: relaxed, PBE-GGA.

Summary:
As for the space-group type: C2/m, No. 12. Its spin magnetization is 0.0 μB per cell. The value obtained for the energy above the lowest structure with this stoichiometry is 15 meV/atom.

Structure (extended XYZ):
```
9
Lattice="-3.437 5.567 1.138 -4.944 3.278 2.985 8.768 -1.340 5.495" Properties=species:S:1:pos:R:3 pbc="T T T"
Pd 0.000 0.000 0.000
S -0.616 1.662 1.557
S 1.927 -0.167 1.366
S -1.540 7.672 8.253
S 1.003 5.843 8.062
Se 1.191 2.400 3.947
Se -0.804 5.105 5.672
Ta -3.172 5.597 4.349
Ta 3.559 1.908 5.270
```

=====

# 16
KPaO3: relaxed, PBE-GGA.

Summary:
As for the space-group type: Cmcm, No. 63. Its spin magnetization is 0.0 μB per cell. Its uncorrected energy is -0.5717 Ry per atom.

Structure (extended XYZ):
```
20
Lattice="4.386 -4.388 0.000 4.386 4.388 0.000 0.000 0.000 8.774" Properties=species:S:1:pos:R:3 pbc="T T T"
K 0.000 0.000 2.193
K 4.386 0.000 2.193
K 0.000 0.000 6.580
K 4.386 0.000 6.580
O 2.225 0.000 0.000
O 6.547 0.000 0.000
O 4.386 2.227 0.065
O 2.259 -2.195 2.193
O 6.514 -2.195 2.193
O 4.386 2.227 4.321
O 2.225 0.000 4.387
O 6.547 0.000 4.387
O 4.386 -2.227 4.452
O 2.259 2.195 6.580
O 6.514 2.195 6.580
O 4.386 -2.227 8.708
Pa 2.193 -2.194 0.000
Pa 2.193 2.194 0.000
Pa 2.193 -2.194 4.387
Pa 2.193 2.194 4.387
```

=====

# 17
CuTcBMo: relaxed, PBE-GGA.

Summary:
As for the space-group type: F-43m, No. 216. Its spin magnetization is 0.0 μB per cell. The value obtained for the energy above the lowest structure with this stoichiometry is 0 meV/atom.

Structure (extended XYZ):
```
4
Lattice="0.690 1.147 3.929 -1.895 -1.995 3.107 2.188 -2.461 2.526" Properties=species:S:1:pos:R:3 pbc="T T T"
B 0.000 0.000 0.000
Cu 0.737 -2.482 7.172
Mo 0.492 -1.655 4.781
Tc 0.246 -0.827 2.391
```

=====

# 18
SmSb: relaxed, PBE-GGA.

Summary:
As for the space-group type: P-62m, No. 189. Its spin magnetization is 0.0 μB per cell. The value obtained for the energy above the lowest structure with this stoichiometry is 118 meV/atom.

Structure (extended XYZ):
```
12
Lattice="7.933 0.000 0.000 -3.966 6.870 0.000 0.000 0.000 6.865" Properties=species:S:1:pos:R:3 pbc="T T T"
Sb 0.000 0.000 1.712
Sb 3.966 2.290 1.718
Sb 0.000 4.580 1.718
Sb 3.966 2.290 5.147
Sb 0.000 4.580 5.147
Sb 0.000 0.000 5.153
Sm 2.647 0.000 0.000
Sm -1.323 2.292 0.000
Sm 2.643 4.578 0.000
Sm 5.291 0.000 3.433
Sm 1.321 2.288 3.433
Sm -2.645 4.582 3.433
```

=====

# 19
SmY2Pb7: relaxed, PBE-GGA.

Summary:
As for the space-group type: Cmmm, No. 65. Its spin magnetization is 0.0 μB per cell. Its uncorrected energy is -0.3472 Ry per atom.

Structure (extended XYZ):
```
10
Lattice="2.285 -13.546 0.000 2.285 13.546 0.000 0.000 0.000 4.632" Properties=species:S:1:pos:R:3 pbc="T T T"
Pb 2.285 -7.902 0.000
Pb 2.285 -2.671 0.000
Pb 2.285 2.671 0.000
Pb 2.285 7.902 0.000
Pb 2.285 -10.889 2.316
Pb 2.285 0.000 2.316
Pb 2.285 10.889 2.316
Sm 0.000 0.000 0.000
Y 2.285 -5.215 2.316
Y 2.285 5.215 2.316
```